Entry from Alexandria via LeMat-Bulk: an optimized crystal structure of Sc3AuC (PBE).

Unit cell a=3.7152 b=15.4173 c=7.4193 alpha=90.00 beta=90.00 gamma=90.00
Space group Cmcm (No. 63)
Inequivalent atoms, fractional coordinates:
Sc: 0.0000 0.0006 0.2500 x4
Sc: 0.0000 0.3450 0.5292 x8
Au: 0.0000 0.1859 0.7500 x4
C: 0.0000 0.4311 0.7500 x4

Values from the calculation:
* formation energy from the elements: -0.351 eV/atom
* ΔE to the lowest computed polymorph: 0.3058 eV/atom

Entry from Alexandria via LeMat-Bulk: an optimized crystal structure of Sc4SiAuC (PBE).

Unit cell a=6.2928 b=13.7108 c=6.2644 alpha=90.00 beta=90.00 gamma=90.00
Space group Cmcm (No. 63)
Inequivalent atoms, fractional coordinates:
Sc: 0.0000 0.0816 0.2500 x4
Sc: 0.0000 0.4172 0.2500 x4
Sc: 0.2500 0.2500 0.0000 x8
Si: 0.0000 0.1212 0.7500 x4
Au: 0.0000 0.3867 0.7500 x4
C: 0.0000 0.2486 0.2500 x4

Values from the calculation:
* ΔE_f (raw): -0.6233 eV/atom

Entry from Alexandria via LeMat-Bulk: an optimized crystal structure of Sc4SnAuC (PBE).

Unit cell a=6.3710 b=14.2039 c=6.3605 alpha=90.00 beta=90.00 gamma=90.00
Space group Cmcm (No. 63)
Inequivalent atoms, fractional coordinates:
Sc: 0.0000 0.0819 0.2500 x4
Sc: 0.0000 0.4073 0.2500 x4
Sc: 0.2500 0.2500 0.0000 x8
Sn: 0.0000 0.3880 0.7500 x4
Au: 0.0000 0.1149 0.7500 x4
C: 0.0000 0.2482 0.2500 x4

Values from the calculation:
* formation energy from the elements: -0.629 eV/atom

Entry from Alexandria via LeMat-Bulk: an optimized crystal structure of Sc2TcAuC (PBE).

Unit cell a=4.5290 b=4.5290 c=3.9763 alpha=90.00 beta=90.00 gamma=90.00
Space group P4/mmm (No. 123)
Inequivalent atoms, fractional coordinates:
Sc: 0.0000 0.5000 0.0000 x2
Tc: 0.0000 0.0000 0.5000 x1
Au: 0.5000 0.5000 0.5000 x1
C: 0.0000 0.0000 0.0000 x1

Values from the calculation:
* formation energy from the elements: -0.520 eV/atom